Below is Er2AlGe3 at its PBEsol-relaxed geometry, with properties calculated at the meta-GGA SCAN level.

Cell lengths 6.692, 4.097, 17.327 Å; angles 90.00, 90.00, 90.00 degrees
Space group Pnma (No. 62)
Symmetry-distinct sites (fractional):
Er 0.159 0.250 0.205 x4
Er 0.169 0.250 0.415 x4
Al 0.046 0.750 0.065 x4
Ge 0.046 0.250 0.669 x4
Ge 0.154 0.250 0.811 x4
Ge 0.245 0.750 0.535 x4

Values from the calculation:
DFT formation energy: -0.688 eV/atom
Electronic total energy: -679.29 eV per cell
Spin magnetization: 0.0 μB per formula unit
Density: 8.10 g/cm³